1.
DFT (PBE) results for SmDy2HgN after structural relaxation.

a = 4.938 Å, b = 4.806 Å, c = 4.806 Å
α = 90.00°, β = 90.00°, γ = 90.00°
Element x y z (fractional)
Dy: 0.000 0.500 0.000
Dy: 0.000 0.000 0.500
Hg: 0.500 0.500 0.500
N: 0.000 0.000 0.000
Sm: 0.500 0.000 0.000

Calculated values
raw formation energy = -0.8842 eV per atom
density of states at the Fermi level = 3.82 states/eV per cell
total moment = 0.00 μB per formula unit
uncorrected energy = -5.394 eV per atom

2.
DFT (PBE) results for Rb4SmBi3O12 after structural relaxation.

a = 7.586 Å, b = 7.586 Å, c = 7.586 Å
α = 109.47°, β = 109.47°, γ = 109.47°
Last column: magnetic moment on the atom in μB.
Element x y z (fractional)
Rb: 0.000 0.500 0.000  0.00
Rb: 0.000 0.000 0.500  0.00
Rb: 0.500 0.000 0.000  0.00
Rb: 0.500 0.500 0.500  0.00
O: 0.000 0.737 0.737  0.10
O: 0.250 0.750 0.500  0.19
O: 0.263 0.000 0.263  0.10
O: 0.500 0.750 0.250  0.19
O: 0.737 0.737 0.000  0.10
O: 0.000 0.263 0.263  0.10
O: 0.263 0.263 0.000  0.10
O: 0.750 0.500 0.250  0.19
O: 0.737 0.000 0.737  0.10
O: 0.500 0.250 0.750  0.19
O: 0.250 0.500 0.750  0.19
O: 0.750 0.250 0.500  0.19
Sm: 0.000 0.000 0.000  -0.02
Bi: 0.000 0.500 0.500  -0.03
Bi: 0.500 0.500 0.000  -0.03
Bi: 0.500 0.000 0.500  -0.03

Calculated values
raw formation energy = -1.2779 eV per atom
density of states at the Fermi level = 11.21 states/eV per cell
total moment = 2.03 μB per formula unit
uncorrected energy = -5.264 eV per atom

3.
DFT (PBE) results for Mg2RuI after structural relaxation.

a = 4.846 Å, b = 4.846 Å, c = 4.846 Å
α = 60.00°, β = 60.00°, γ = 60.00°
Element x y z (fractional)
Mg: 0.750 0.750 0.750
Mg: 0.250 0.250 0.250
I: 0.500 0.500 0.500
Ru: 0.000 0.000 0.000

Calculated values
E above lowest polymorph = 54 meV per atom
raw formation energy = 0.4940 eV per atom
density of states at the Fermi level = 2.85 states/eV per cell
total moment = 0.00 μB per formula unit
uncorrected energy = -3.010 eV per atom

4.
DFT (PBE) results for LiGaRu after structural relaxation.

a = 3.203 Å, b = 3.203 Å, c = 4.563 Å
α = 110.55°, β = 110.55°, γ = 90.00°
Element x y z (fractional)
Li: 0.280 0.280 0.560
Ga: 0.958 0.958 0.916
Ru: 0.612 0.612 0.224

Calculated values
E above lowest polymorph = 115 meV per atom
density of states at the Fermi level = 2.27 states/eV per cell
ΔE_f = -0.130 eV per atom
total moment = 0.00 μB per formula unit
uncorrected energy = -4.868 eV per atom

5.
DFT (PBE) results for LaCdP3 after structural relaxation.

a = 4.937 Å, b = 4.937 Å, c = 4.937 Å
α = 90.00°, β = 90.00°, γ = 90.00°
Element x y z (fractional)
P: 0.000 0.500 0.000
P: 0.000 0.000 0.500
P: 0.500 0.000 0.000
Cd: 0.000 0.000 0.000
La: 0.500 0.500 0.500

Calculated values
E above lowest polymorph = 0 meV per atom
density of states at the Fermi level = 3.93 states/eV per cell
ΔE_f = 0.183 eV per atom
total moment = 0.00 μB per formula unit
uncorrected energy = -4.232 eV per atom

6.
DFT (PBE) results for NbH2Se after structural relaxation.

a = 3.390 Å, b = 3.390 Å, c = 4.824 Å
α = 69.43°, β = 69.43°, γ = 60.00°
Element x y z (fractional)
H: 0.139 0.139 0.584
H: 0.861 0.861 0.416
Nb: 0.000 0.000 0.000
Se: 0.500 0.500 0.500

Calculated values
E above lowest polymorph = 901 meV per atom
density of states at the Fermi level = 2.58 states/eV per cell
total moment = 0.00 μB per formula unit
uncorrected energy = -4.498 eV per atom

7.
DFT (PBE) results for GaPd2Br after structural relaxation.

a = 4.525 Å, b = 4.525 Å, c = 8.699 Å
α = 74.92°, β = 74.92°, γ = 90.00°
Element x y z (fractional)
Br: 0.000 0.000 0.000
Br: 0.750 0.250 0.500
Pd: 0.163 0.625 0.250
Pd: 0.375 0.413 0.750
Pd: 0.587 0.125 0.250
Pd: 0.875 0.837 0.750
Ga: 0.500 0.500 0.000
Ga: 0.250 0.750 0.500

Calculated values
E above lowest polymorph = 0 meV per atom
raw formation energy = -0.0870 eV per atom
density of states at the Fermi level = 0.29 states/eV per cell
total moment = 0.00 μB per formula unit
uncorrected energy = -3.858 eV per atom

8.
DFT (PBE) results for Tb3CeTl4Te8 after structural relaxation.

a = 8.998 Å, b = 9.697 Å, c = 8.998 Å
α = 117.65°, β = 120.00°, γ = 90.00°
Last column: magnetic moment on the atom in μB.
Element x y z (fractional)
Tb: 0.500 0.500 0.000  0.01
Tb: 0.000 0.500 0.500  0.01
Tb: 0.500 0.500 0.500  0.01
Tl: 0.500 0.000 0.000  0.00
Tl: 0.000 0.000 0.500  0.00
Tl: 0.000 0.000 0.000  0.00
Tl: 0.500 0.000 0.500  0.00
Te: 0.268 0.284 0.026  -0.01
Te: 0.758 0.284 0.026  -0.01
Te: 0.242 0.716 0.974  -0.01
Te: 0.732 0.716 0.974  -0.01
Te: 0.242 0.716 0.484  -0.01
Te: 0.758 0.284 0.516  -0.01
Te: 0.262 0.287 0.524  0.00
Te: 0.738 0.713 0.476  0.00
Ce: 0.000 0.500 0.000  0.96

Calculated values
raw formation energy = -1.0433 eV per atom
density of states at the Fermi level = 8.10 states/eV per cell
total moment = 1.01 μB per formula unit
uncorrected energy = -4.445 eV per atom

9.
DFT (PBE) results for YSn2N after structural relaxation.

a = 7.107 Å, b = 7.107 Å, c = 6.164 Å
α = 54.80°, β = 54.80°, γ = 90.00°
Element x y z (fractional)
Sn: 0.529 0.125 0.250
Sn: 0.375 0.471 0.750
Sn: 0.875 0.779 0.750
Sn: 0.221 0.625 0.250
Y: 0.750 0.250 0.500
Y: 0.000 0.000 0.000
N: 0.250 0.750 0.500
N: 0.500 0.500 0.000

Calculated values
raw formation energy = 0.0956 eV per atom
density of states at the Fermi level = 5.78 states/eV per cell
total moment = 0.00 μB per formula unit
uncorrected energy = -5.603 eV per atom

10.
DFT (PBE) results for Li2SmAgAu2 after structural relaxation.

a = 4.511 Å, b = 4.511 Å, c = 6.616 Å
α = 90.00°, β = 90.00°, γ = 120.00°
Element x y z (fractional)
Au: 0.333 0.667 0.251
Au: 0.667 0.333 0.749
Ag: 0.000 0.000 0.500
Li: 0.333 0.667 0.653
Li: 0.667 0.333 0.347
Sm: 0.000 0.000 0.000

Calculated values
density of states at the Fermi level = 2.68 states/eV per cell
ΔE_f = -0.534 eV per atom
total moment = 0.00 μB per formula unit
uncorrected energy = -3.527 eV per atom

11.
DFT (PBE) results for Be2InP after structural relaxation.

a = 4.358 Å, b = 4.358 Å, c = 4.358 Å
α = 60.00°, β = 60.00°, γ = 60.00°
Element x y z (fractional)
Be: 0.750 0.750 0.750
Be: 0.250 0.250 0.250
In: 0.500 0.500 0.500
P: 0.000 0.000 0.000

Calculated values
E above lowest polymorph = 587 meV per atom
density of states at the Fermi level = 2.27 states/eV per cell
ΔE_f = 0.733 eV per atom
total moment = 0.00 μB per formula unit
uncorrected energy = -3.167 eV per atom

12.
DFT (PBE) results for La2TlPt after structural relaxation.

a = 5.226 Å, b = 5.224 Å, c = 4.059 Å
α = 90.00°, β = 90.00°, γ = 90.00°
Element x y z (fractional)
La: 0.000 0.000 0.000
La: 0.500 0.500 0.000
Pt: 0.500 0.000 0.500
Tl: 0.000 0.500 0.500

Calculated values
E above lowest polymorph = 148 meV per atom
density of states at the Fermi level = 3.19 states/eV per cell
ΔE_f = -0.640 eV per atom
total moment = 0.00 μB per formula unit
uncorrected energy = -5.205 eV per atom

13.
DFT (PBE) results for Ac3Sn3Pd8 after structural relaxation.

a = 4.570 Å, b = 8.658 Å, c = 9.117 Å
α = 65.65°, β = 75.49°, γ = 74.70°
Element x y z (fractional)
Pd: 0.504 0.677 0.315
Pd: 0.111 0.152 0.625
Pd: 0.889 0.848 0.375
Pd: 0.496 0.323 0.685
Pd: 0.872 0.429 0.828
Pd: 0.128 0.571 0.172
Pd: 0.644 0.961 0.751
Pd: 0.356 0.039 0.249
Sn: 0.000 0.500 0.500
Sn: 0.675 0.652 0.998
Sn: 0.325 0.348 0.002
Ac: 0.703 0.244 0.350
Ac: 0.297 0.756 0.650
Ac: 0.000 0.000 0.000

Calculated values
E above lowest polymorph = 0 meV per atom
density of states at the Fermi level = 7.56 states/eV per cell
ΔE_f = -0.800 eV per atom
total moment = 0.00 μB per formula unit
uncorrected energy = -5.505 eV per atom

14.
DFT (PBE) results for KInPt after structural relaxation.

a = 4.853 Å, b = 4.852 Å, c = 7.844 Å
α = 90.40°, β = 90.39°, γ = 79.98°
Element x y z (fractional)
In: 0.270 0.270 0.160
In: 0.730 0.730 0.840
K: 0.254 0.254 0.673
K: 0.746 0.746 0.327
Pt: 0.774 0.226 0.000
Pt: 0.226 0.774 0.000

Calculated values
density of states at the Fermi level = 2.82 states/eV per cell
ΔE_f = -0.304 eV per atom
total moment = 0.00 μB per formula unit
uncorrected energy = -3.597 eV per atom

15.
DFT (PBE) results for LiInBrO after structural relaxation.

a = 3.569 Å, b = 3.569 Å, c = 13.902 Å
α = 82.62°, β = 82.62°, γ = 60.00°
Element x y z (fractional)
In: 0.000 0.000 0.000
In: 0.500 0.500 0.500
O: 0.809 0.809 0.574
O: 0.191 0.191 0.426
Br: 0.606 0.606 0.182
Br: 0.394 0.394 0.818
Li: 0.765 0.765 0.706
Li: 0.235 0.235 0.294

Calculated values
raw formation energy = -1.2365 eV per atom
density of states at the Fermi level = 2.10 states/eV per cell
total moment = 0.00 μB per formula unit
uncorrected energy = -4.057 eV per atom

16.
DFT (PBE) results for Ta5Ti5Ge6 after structural relaxation.

a = 5.173 Å, b = 7.709 Å, c = 7.709 Å
α = 121.80°, β = 90.00°, γ = 90.00°
Element x y z (fractional)
Ge: 0.500 0.599 0.001
Ge: 0.000 0.393 0.002
Ge: 0.500 0.001 0.599
Ge: 0.000 0.594 0.594
Ge: 0.500 0.404 0.404
Ge: 0.000 0.002 0.393
Ta: 0.500 0.803 0.803
Ta: 0.000 0.995 0.744
Ta: 0.000 0.744 0.995
Ta: 0.500 0.243 0.001
Ta: 0.500 0.001 0.243
Ti: 0.249 0.336 0.668
Ti: 0.000 0.215 0.215
Ti: 0.751 0.668 0.336
Ti: 0.751 0.336 0.668
Ti: 0.249 0.668 0.336

Calculated values
density of states at the Fermi level = 13.11 states/eV per cell
ΔE_f = -0.521 eV per atom
total moment = 0.00 μB per formula unit
uncorrected energy = -8.424 eV per atom

17.
DFT (PBE) results for NdDyLuSc after structural relaxation.

a = 5.545 Å, b = 5.545 Å, c = 5.545 Å
α = 60.00°, β = 60.00°, γ = 60.00°
Element x y z (fractional)
Sc: 0.000 0.000 0.000
Lu: 0.500 0.500 0.500
Nd: 0.750 0.750 0.750
Dy: 0.250 0.250 0.250

Calculated values
density of states at the Fermi level = 5.52 states/eV per cell
ΔE_f = 0.093 eV per atom
total moment = 0.00 μB per formula unit
uncorrected energy = -4.963 eV per atom

18.
DFT (PBE) results for La4BiPb2Se after structural relaxation.

a = 4.503 Å, b = 8.188 Å, c = 7.913 Å
α = 71.59°, β = 90.00°, γ = 90.00°
Element x y z (fractional)
Se: 0.000 0.500 0.500
Bi: 0.500 0.500 0.000
Pb: 0.500 0.000 0.500
Pb: 0.000 0.000 0.000
La: 0.500 0.261 0.738
La: 0.500 0.739 0.262
La: 0.000 0.744 0.745
La: 0.000 0.256 0.255

Calculated values
raw formation energy = -1.0032 eV per atom
density of states at the Fermi level = 4.95 states/eV per cell
total moment = 0.00 μB per formula unit
uncorrected energy = -5.315 eV per atom

19.
DFT (PBE) results for K3Ac3ScTe8 after structural relaxation.

a = 9.393 Å, b = 9.405 Å, c = 10.046 Å
α = 117.99°, β = 90.00°, γ = 119.96°
Element x y z (fractional)
K: 0.500 0.500 0.000
K: 0.000 0.000 0.000
K: 0.000 0.500 0.000
Te: 0.234 0.014 0.295
Te: 0.219 0.439 0.705
Te: 0.781 0.561 0.295
Te: 0.258 0.515 0.273
Te: 0.219 0.986 0.705
Te: 0.766 0.986 0.705
Te: 0.781 0.014 0.295
Te: 0.742 0.485 0.727
Ac: 0.500 0.000 0.500
Ac: 0.000 0.500 0.500
Ac: 0.500 0.500 0.500
Sc: 0.000 0.000 0.500

Calculated values
raw formation energy = -1.3235 eV per atom
density of states at the Fermi level = 14.56 states/eV per cell
total moment = 0.00 μB per formula unit
uncorrected energy = -4.462 eV per atom

20.
DFT (PBE) results for InSi2Pb2 after structural relaxation.

a = 3.500 Å, b = 3.500 Å, c = 10.528 Å
α = 80.43°, β = 80.43°, γ = 90.00°
Element x y z (fractional)
Pb: 0.619 0.619 0.762
Pb: 0.381 0.381 0.238
In: 0.000 0.000 0.000
Si: 0.750 0.250 0.500
Si: 0.250 0.750 0.500

Calculated values
E above lowest polymorph = 0 meV per atom
raw formation energy = 0.2311 eV per atom
density of states at the Fermi level = 2.53 states/eV per cell
total moment = 0.00 μB per formula unit
uncorrected energy = -3.969 eV per atom